A geometry-optimized RbRh2Pb2 structure. Source: Alexandria, functional PBE.

Structure (POSCAR):
```
RbRh2Pb2
1.0
-2.402 4.180 -0.532
-1.138 -1.233 -4.551
-6.359 -0.935 -0.742
Pb Rh Rb
2 2 1
Cartesian
-5.266 2.359 -1.908
-4.633 -0.348 -3.917
-2.837 0.913 -2.123
-7.062 1.098 -3.702
0.000 0.000 0.000
```

Computed properties:
Calculated density = 9.1 g/cm3
Energy of formation = 54.8 kJ/mol of formula units
Offset from the most stable computed form = 0.152 eV per atom
SG = I4/mmm